1.
First-principles (PBE-GGA) data for an optimized crystal structure of Zr4AgSe, as listed in the Alexandria database.

a b c (Å): 8.132 8.132 8.132
angles (deg): 90.00 90.00 90.00
Space group F-43m (No. 216)
One atom of each set of equivalent atoms:
Zr  0.124  0.124  0.124
Ag  0.250  0.250  0.750
Se  0.000  0.000  0.500

Formation energy from raw total energies (meV/atom): 350
Calculated total energy (eV/atom): -6.405
Density of states at the Fermi level (states/eV per atom): 1.002



2.
First-principles (PBE-GGA) data for an optimized crystal structure of ZrAgSe4, as listed in the Alexandria database.

a b c (Å): 7.997 7.997 7.997
angles (deg): 90.00 90.00 90.00
Space group F-43m (No. 216)
One atom of each set of equivalent atoms:
Zr  0.000  0.000  0.000
Ag  0.250  0.250  0.750
Se  0.125  0.125  0.375

Formation energy from raw total energies (meV/atom): 419
Calculated total energy (eV/atom): -3.803
Density of states at the Fermi level (states/eV per atom): 0.749



3.
First-principles (PBE-GGA) data for an optimized crystal structure of ZrAg2Se4, as listed in the Alexandria database.

a b c (Å): 3.754 13.655 12.434
angles (deg): 90.00 90.00 90.00
Space group Cmcm (No. 63)
One atom of each set of equivalent atoms:
Zr  0.000  0.102  0.250
Ag  0.000  0.367  0.068
Se  0.000  0.000  0.000
Se  0.000  0.299  0.627
Se  0.000  0.456  0.250

Formation energy from raw total energies (meV/atom): -493
Calculated total energy (eV/atom): -4.520
Density of states at the Fermi level (states/eV per atom): 0.561



> formation energy from raw total energies of number 1 (Zr4AgSe)?

350 meV/atom